NdSm2Ru | PBE | optimized geometry

It has space group P4/mmm (No. 123), with a = 3.501 Å, b = 3.501 Å, c = 9.279 Å, α = 90.00°, β = 90.00° and γ = 90.00°. The distinct sites, in fractional coordinates, are Nd at (0.000, 0.000, 0.000), Sm at (0.500, 0.500, 0.319) and Ru at (0.000, 0.000, 0.500).

The value obtained for the theoretical density is 7.97 g cm⁻³. The value obtained for the relative energy among the computed polymorphs is 0.42 eV per formula unit. For the formation enthalpy at 0 K, the calculation gives -115 meV per atom. For the total energy, the calculation gives -23.94 eV/f.u. As for the volume: 113.74 Å³/cell.